# 1
4
Lattice="0.0000 3.9435 3.9435 3.9435 0.0000 3.9435 3.9435 3.9435 0.0000" Properties=species:S:1:pos:R:3 comment="AcGdCdSn PBE optimized geometry" volume_a3_per_atom=30.66 delta_e_f_ev_per_atom=-0.47 m_tot_mub_per_fu=7.393 pbc="T T T"
Ac 0.0000 0.0000 0.0000
Gd 3.9435 3.9435 3.9435
Cd 1.9717 1.9717 1.9717
Sn 5.9152 5.9152 5.9152

# 2
4
Lattice="0.0000 4.0066 4.0066 4.0066 0.0000 4.0066 4.0066 4.0066 0.0000" Properties=species:S:1:pos:R:3 comment="AcGdThCd PBE optimized geometry" volume_a3_per_atom=32.16 delta_e_f_ev_per_atom=0.14 m_tot_mub_per_fu=7.575 pbc="T T T"
Ac 0.0000 0.0000 0.0000
Gd 6.0099 6.0099 6.0099
Th 2.0033 2.0033 2.0033
Cd 4.0066 4.0066 4.0066

# 3
4
Lattice="0.0000 3.9958 3.9958 3.9958 0.0000 3.9958 3.9958 3.9958 0.0000" Properties=species:S:1:pos:R:3 comment="AcGdTmCd PBE optimized geometry" volume_a3_per_atom=31.90 delta_e_f_ev_per_atom=-0.02 m_tot_mub_per_fu=7.874 pbc="T T T"
Ac 0.0000 0.0000 0.0000
Gd 3.9958 3.9958 3.9958
Tm 5.9937 5.9937 5.9937
Cd 1.9979 1.9979 1.9979

# 4
4
Lattice="0.0000 3.8618 3.8618 3.8618 0.0000 3.8618 3.8618 3.8618 0.0000" Properties=species:S:1:pos:R:3 comment="AcGdZnCd PBE optimized geometry" volume_a3_per_atom=28.80 delta_e_f_ev_per_atom=-0.26 m_tot_mub_per_fu=7.850 pbc="T T T"
Ac 0.0000 0.0000 0.0000
Gd 3.8618 3.8618 3.8618
Zn 1.9309 1.9309 1.9309
Cd 5.7927 5.7927 5.7927

# 5
3
Lattice="4.6219 0.0000 0.0000 -2.3109 4.0027 0.0000 0.0000 0.0000 4.5830" Properties=species:S:1:pos:R:3 comment="AcCdGe PBE optimized geometry" de_polymorph_mev_per_atom=0 volume_a3_per_atom=28.26 delta_e_f_ev_per_atom=-0.52 m_tot_mub_per_fu=0.000 pbc="T T T"
Ac 0.0000 0.0000 0.0000
Cd 0.0000 2.6684 2.2915
Ge 2.3109 1.3342 2.2915

# 6
12
Lattice="4.0576 -7.0709 0.0000 4.0576 7.0709 0.0000 -2.7571 0.0000 7.3865" Properties=species:S:1:pos:R:3 comment="Ac6CdGe5 PBE optimized geometry" volume_a3_per_atom=35.32 delta_e_f_ev_per_atom=-0.51 m_tot_mub_per_fu=0.000 pbc="T T T"
Ac -0.1367 2.5178 5.4175
Ac 1.1549 0.0000 1.9033
Ac -0.1367 -2.5178 5.4175
Ac 5.4948 2.5178 1.9690
Ac 4.2032 0.0000 5.4832
Ac 5.4948 -2.5178 1.9690
Cd 4.0576 0.0000 0.0000
Ge -1.3786 0.0000 3.6933
Ge 4.0576 4.6697 0.0000
Ge 2.6791 2.1651 3.6933
Ge 2.6791 -2.1651 3.6933
Ge 4.0576 -4.6697 0.0000

# 7
19
Lattice="-5.5472 5.5472 5.5472 5.5472 -5.5472 5.5472 5.5472 5.5472 -5.5472" Properties=species:S:1:pos:R:3 comment="Ac12CdGe6 PBE optimized geometry" volume_a3_per_atom=35.94 delta_e_f_ev_per_atom=-0.48 m_tot_mub_per_fu=0.000 pbc="T T T"
Ac 5.5472 -2.2343 3.4710
Ac 3.3129 2.0762 0.0000
Ac 7.7815 2.0762 0.0000
Ac 3.4710 5.5472 -2.2343
Ac 2.0762 0.0000 3.3129
Ac 0.0000 3.3129 2.0762
Ac 5.5472 2.2343 3.4710
Ac 3.4710 5.5472 2.2343
Ac 2.0762 0.0000 7.7815
Ac -2.2343 3.4710 5.5472
Ac 2.2343 3.4710 5.5472
Ac 0.0000 7.7815 2.0762
Cd 0.0000 0.0000 0.0000
Ge 5.5472 0.0000 1.2787
Ge 5.5472 4.2685 0.0000
Ge 1.2787 5.5472 0.0000
Ge 4.2685 0.0000 5.5472
Ge 0.0000 1.2787 5.5472
Ge 0.0000 5.5472 4.2685

# 8
4
Lattice="3.0326 -3.9172 0.0000 3.0326 3.9172 0.0000 0.0000 0.0000 4.8092" Properties=species:S:1:pos:R:3 comment="AcCd2Ge PBE optimized geometry" de_polymorph_mev_per_atom=153 volume_a3_per_atom=28.56 delta_e_f_ev_per_atom=-0.22 m_tot_mub_per_fu=0.000 pbc="T T T"
Ac 0.0000 0.0000 0.0000
Cd 3.0326 1.4953 2.4046
Cd 3.0326 -1.4953 2.4046
Ge 3.0326 0.0000 0.0000

# 9
14
Lattice="4.9414 -6.9461 0.0000 4.9414 6.9461 0.0000 -4.9404 0.0000 6.9726" Properties=species:S:1:pos:R:3 comment="Ac4CdGe2 PBE optimized geometry" volume_a3_per_atom=34.19 delta_e_f_ev_per_atom=-0.47 m_tot_mub_per_fu=0.000 pbc="T T T"
Ac 2.4712 6.9282 3.4863
Ac -1.2849 2.4580 5.9682
Ac 2.4712 3.4827 4.9334
Ac 3.6547 1.0172 2.4426
Ac 1.1853 -2.4580 2.4819
Ac 1.1845 -1.0172 5.9289
Ac 4.9414 -3.4827 1.4471
Ac 4.9414 -6.9282 0.0000
Cd 6.7684 1.7326 0.7233
Cd 4.2982 -1.7326 4.2096
Ge 3.0649 4.3660 1.5665
Ge 0.5937 0.8948 3.3616
Ge -1.8765 -0.8948 6.8479
Ge 0.5947 -4.3660 5.0528

# 10
16
Lattice="2.4537 -8.9481 0.0000 2.4537 8.9481 0.0000 0.0000 0.0000 9.9202" Properties=species:S:1:pos:R:3 comment="Ac2Cd5Ge PBE optimized geometry" volume_a3_per_atom=27.23 delta_e_f_ev_per_atom=-0.37 m_tot_mub_per_fu=0.000 pbc="T T T"
Ac 0.0000 0.0000 0.0000
Ac 0.0000 0.0000 4.9601
Ac 2.4537 5.3805 7.4402
Ac 2.4537 -5.3805 2.4801
Cd 2.4537 5.5984 1.0506
Cd 2.4537 5.5984 3.9095
Cd 2.4537 2.6475 0.2628
Cd 2.4537 2.6475 4.6973
Cd 2.4537 1.6996 7.4402
Cd 2.4537 -1.6996 2.4801
Cd 2.4537 -2.6475 5.2229
Cd 2.4537 -2.6475 9.6574
Cd 2.4537 -5.5984 6.0107
Cd 2.4537 -5.5984 8.8697
Ge 2.4537 0.9973 2.4801
Ge 2.4537 -0.9973 7.4402

# 11
11
Lattice="7.9033 0.0000 0.0000 0.0000 4.6322 0.0000 -0.2185 0.0000 9.2232" Properties=species:S:1:pos:R:3 comment="Ac4Cd5Ge2 PBE optimized geometry" volume_a3_per_atom=30.70 delta_e_f_ev_per_atom=-0.40 m_tot_mub_per_fu=0.000 pbc="T T T"
Ac 1.5275 0.0000 1.4058
Ac 1.7541 0.0000 5.4866
Ac 5.9306 0.0000 3.7366
Ac 6.1573 0.0000 7.8173
Cd 0.9710 2.3161 8.1245
Cd 3.3578 2.3161 3.1803
Cd 3.9517 2.3161 0.0000
Cd 4.3269 2.3161 6.0428
Cd 6.7138 2.3161 1.0986
Ge 0.4092 2.3161 3.4489
Ge 7.2755 2.3161 5.7743

# 12
7
Lattice="5.6169 -2.4046 0.0000 5.6169 2.4046 0.0000 -2.2670 0.0000 6.9325" Properties=species:S:1:pos:R:3 comment="Ac2Cd3Ge2 PBE optimized geometry" de_polymorph_mev_per_atom=0 volume_a3_per_atom=26.75 delta_e_f_ev_per_atom=-0.41 m_tot_mub_per_fu=0.000 pbc="T T T"
Ac 1.0197 0.0000 1.9036
Ac 7.9471 0.0000 5.0290
Cd 4.2694 0.0000 0.5072
Cd 4.4834 0.0000 3.4663
Cd 4.6974 0.0000 6.4253
Ge 0.0718 0.0000 5.1886
Ge 8.8951 0.0000 1.7440

# 13
8
Lattice="-2.1446 2.3881 11.2790 2.1446 -2.3881 11.2790 2.1446 2.3881 -11.2790" Properties=species:S:1:pos:R:3 comment="Ac3Cd2Ge3 PBE optimized geometry" de_polymorph_mev_per_atom=61 volume_a3_per_atom=28.88 delta_e_f_ev_per_atom=-0.40 m_tot_mub_per_fu=0.000 pbc="T T T"
Ac 0.0000 0.0000 0.0000
Ac 2.1446 0.0000 8.3753
Ac 0.0000 2.3881 2.9037
Cd 0.0000 0.0000 5.6004
Cd 0.0000 0.0000 16.9575
Ge 2.1446 0.0000 3.6574
Ge 0.0000 0.0000 11.2790
Ge 0.0000 2.3881 7.6216

# 14
18
Lattice="3.1425 -8.2854 0.0000 3.1425 8.2854 0.0000 0.0000 0.0000 8.5267" Properties=species:S:1:pos:R:3 comment="Ac2Cd3Ge4 PBE optimized geometry" volume_a3_per_atom=24.67 delta_e_f_ev_per_atom=-0.36 m_tot_mub_per_fu=0.000 pbc="T T T"
Ac 3.1425 6.3672 7.8386
Ac 3.1425 1.9183 3.5752
Ac 3.1425 -1.9183 4.9514
Ac 3.1425 -6.3672 0.6881
Cd 0.0000 0.0000 4.2633
Cd 1.5713 3.4900 6.3950
Cd 1.5713 -3.4900 2.1317
Cd 3.1425 0.0000 0.0000
Cd 4.7138 3.4900 6.3950
Cd 4.7138 -3.4900 2.1317
Ge 3.1425 5.1713 4.7137
Ge 1.5713 0.7566 6.3950
Ge 1.5713 -0.7566 2.1317
Ge 3.1425 3.1141 0.4504
Ge 3.1425 -3.1141 8.0762
Ge 4.7138 0.7566 6.3950
Ge 4.7138 -0.7566 2.1317
Ge 3.1425 -5.1713 3.8129

# 15
20
Lattice="6.1675 3.5608 3.9686 -6.1675 3.5608 3.9686 0.0000 -7.1216 3.9686" Properties=species:S:1:pos:R:3 comment="Ac3CdGe6 PBE optimized geometry" volume_a3_per_atom=26.15 delta_e_f_ev_per_atom=-0.50 m_tot_mub_per_fu=0.000 pbc="T T T"
Ac -3.4614 1.1263 4.9608
Ac -2.7061 -2.4345 6.9451
Ac 0.7553 -3.5608 4.9608
Ac -0.7552 3.5608 6.9451
Ac 2.7061 2.4345 4.9608
Ac 3.4614 -1.1263 6.9451
Cd 0.0000 0.0000 0.0000
Cd 0.0000 0.0000 5.9529
Ge -0.4738 -2.3014 1.9444
Ge -1.7562 1.5610 1.9444
Ge -1.7562 -1.5610 4.0085
Ge 2.2300 0.7404 1.9444
Ge -0.4738 2.3014 4.0085
Ge 2.2300 -0.7404 4.0085
Ge -2.2300 0.7404 7.8973
Ge 0.4738 -2.3014 7.8973
Ge -2.2300 -0.7404 9.9614
Ge 1.7562 1.5610 7.8973
Ge 1.7562 -1.5610 9.9614
Ge 0.4738 2.3014 9.9614

# 16
6
Lattice="0.0000 4.1028 4.1028 4.1028 0.0000 4.1028 4.1028 4.1028 0.0000" Properties=species:S:1:pos:R:3 comment="AcCdGe4 PBE optimized geometry" volume_a3_per_atom=23.02 delta_e_f_ev_per_atom=-0.20 m_tot_mub_per_fu=0.000 pbc="T T T"
Ac 0.0000 0.0000 0.0000
Cd 6.1543 6.1543 6.1543
Ge 3.0735 3.0735 3.0735
Ge 5.1322 5.1322 3.0735
Ge 5.1322 3.0735 5.1322
Ge 3.0735 5.1322 5.1322

# 17
4
Lattice="0.0000 3.9829 3.9829 3.9829 0.0000 3.9829 3.9829 3.9829 0.0000" Properties=species:S:1:pos:R:3 comment="Ac2CdGe PBE optimized geometry" volume_a3_per_atom=31.59 delta_e_f_ev_per_atom=-0.41 m_tot_mub_per_fu=0.000 pbc="T T T"
Ac 1.9915 1.9915 1.9915
Ac 5.9744 5.9744 5.9744
Cd 0.0000 0.0000 0.0000
Ge 3.9829 3.9829 3.9829

# 18
4
Lattice="3.8952 0.0000 0.0000 0.0000 3.8952 0.0000 0.0000 0.0000 7.1259" Properties=species:S:1:pos:R:3 comment="AcCd2Ge PBE optimized geometry" de_polymorph_mev_per_atom=261 volume_a3_per_atom=27.03 delta_e_f_ev_per_atom=-0.11 m_tot_mub_per_fu=0.001 pbc="T T T"
Ac 0.0000 0.0000 0.0000
Cd 1.9476 1.9476 2.1128
Cd 1.9476 1.9476 5.0131
Ge 0.0000 0.0000 3.5629

# 19
8
Lattice="2.2107 -10.1896 0.0000 2.2107 10.1896 0.0000 0.0000 0.0000 4.7506" Properties=species:S:1:pos:R:3 comment="AcCd2Ge PBE optimized geometry" de_polymorph_mev_per_atom=0 volume_a3_per_atom=26.75 delta_e_f_ev_per_atom=-0.37 m_tot_mub_per_fu=0.000 pbc="T T T"
Ac 2.2107 7.9625 3.5629
Ac 2.2107 -7.9625 1.1876
Cd 2.2107 5.0906 1.1876
Cd 2.2107 0.6683 3.5629
Cd 2.2107 -0.6683 1.1876
Cd 2.2107 -5.0906 3.5629
Ge 2.2107 3.3647 3.5629
Ge 2.2107 -3.3647 1.1876

# 20
7
Lattice="2.0456 -11.0514 0.0000 2.0456 11.0514 0.0000 0.0000 0.0000 4.4098" Properties=species:S:1:pos:R:3 comment="Ac2Cd3Ge2 PBE optimized geometry" de_polymorph_mev_per_atom=21 volume_a3_per_atom=28.48 delta_e_f_ev_per_atom=-0.39 m_tot_mub_per_fu=0.000 pbc="T T T"
Ac 2.0456 7.4007 0.0000
Ac 2.0456 -7.4007 0.0000
Cd 0.0000 0.0000 0.0000
Cd 2.0456 1.4699 2.2049
Cd 2.0456 -1.4699 2.2049
Ge 2.0456 4.7367 2.2049
Ge 2.0456 -4.7367 2.2049

# 21
10
Lattice="4.4095 0.0000 0.0000 2.1640 7.9975 0.0000 0.0394 0.2717 10.0117" Properties=species:S:1:pos:R:3 comment="Ac3CdGe PBE optimized geometry" volume_a3_per_atom=35.31 delta_e_f_ev_per_atom=-0.35 m_tot_mub_per_fu=0.000 pbc="T T T"
Ac 1.0836 3.2965 1.6086
Ac 1.1327 0.3835 8.3437
Ac 3.2763 5.5625 3.8802
Ac 3.3365 2.7066 6.1315
Ac 5.4802 7.8857 1.6680
Ac 5.5293 4.9727 8.4030
Cd 1.1278 0.9539 4.2196
Cd 5.4851 7.3153 5.7921
Ge 3.2785 5.7385 0.6702
Ge 3.3344 2.5307 9.3415

# 22
4
Lattice="2.3617 1.3635 5.7822 -2.3617 1.3635 5.7822 0.0000 -2.7270 5.7822" Properties=species:S:1:pos:R:3 comment="AcCd2Ge PBE optimized geometry" de_polymorph_mev_per_atom=172 volume_a3_per_atom=27.93 delta_e_f_ev_per_atom=-0.20 m_tot_mub_per_fu=0.000 pbc="T T T"
Ac 0.0000 0.0000 0.0000
Cd 0.0000 0.0000 3.8120
Cd 0.0000 0.0000 13.5347
Ge 0.0000 0.0000 8.6733

# 23
6
Lattice="0.0000 4.2705 4.2705 4.2705 0.0000 4.2705 4.2705 4.2705 0.0000" Properties=species:S:1:pos:R:3 comment="AcCd4Ge PBE optimized geometry" de_polymorph_mev_per_atom=146 volume_a3_per_atom=25.96 delta_e_f_ev_per_atom=-0.07 m_tot_mub_per_fu=0.000 pbc="T T T"
Ac 0.0000 0.0000 0.0000
Cd 3.2123 3.2123 3.2123
Cd 5.3288 5.3288 3.2123
Cd 5.3288 3.2123 5.3288
Cd 3.2123 5.3288 5.3288
Ge 6.4058 6.4058 6.4058

# 24
12
Lattice="4.0398 2.3324 7.4789 -4.0398 2.3324 7.4789 0.0000 -4.6648 7.4789" Properties=species:S:1:pos:R:3 comment="Ac3CdGe2 PBE optimized geometry" de_polymorph_mev_per_atom=0 volume_a3_per_atom=35.23 delta_e_f_ev_per_atom=-0.46 m_tot_mub_per_fu=0.000 pbc="T T T"
Ac -2.8287 -0.2347 9.3487
Ac -1.2111 -2.5671 13.0881
Ac 1.6176 -2.3324 9.3487
Ac -1.6176 2.3324 13.0881
Ac 1.2111 2.5671 9.3487
Ac 2.8287 0.2347 13.0881
Cd 0.0000 0.0000 0.0000
Cd 0.0000 0.0000 11.2184
Ge 0.0000 0.0000 3.4606
Ge 0.0000 0.0000 7.7578
Ge 0.0000 0.0000 14.6790
Ge 0.0000 0.0000 18.9762

| no. | density of states at the Fermi level (states/eV/atom) |
| --- | --- |
| 1 | 1.38 |
| 2 | 1.64 |
| 3 | 1.60 |
| 4 | 1.20 |
| 5 | 0.65 |
| 6 | 1.26 |
| 7 | 0.64 |
| 8 | 0.62 |
| 9 | 1.28 |
| 10 | 0.55 |
| 11 | 0.62 |
| 12 | 0.63 |
| 13 | 0.59 |
| 14 | 0.59 |
| 15 | 0.47 |
| 16 | 0.33 |
| 17 | 1.29 |
| 18 | 0.58 |
| 19 | 0.64 |
| 20 | 0.39 |
| 21 | 0.94 |
| 22 | 0.58 |
| 23 | 0.32 |
| 24 | 0.86 |